First-principles (PBE-GGA) data for a geometry-optimized NdTh5N6 structure, as listed in the Alexandria database.

Lattice parameters (Å, degrees): 6.338 10.976 6.339 90.00 109.44 90.00
Space group C2/m (No. 12)
Unique sites:
Nd (0.000, 0.000, 0.000) (multiplicity 2)
Th (0.000, 0.165, 0.500) (multiplicity 4)
Th (0.000, 0.333, 0.000) (multiplicity 4)
Th (0.000, 0.500, 0.500) (multiplicity 2)
N (0.243, 0.500, 0.254) (multiplicity 4)
N (0.244, 0.329, 0.745) (multiplicity 8)

## Properties
N(E_F) = 5.49 states/eV/f.u.
ΔE_f (raw) = -149.6 kJ per mole of atoms
Spin magnetization = 0.0 μB per cell